Entry 1:
! PmThTl2 | Alexandria | GGA-PBE | optimized geometry; values from VASP
&SYSTEM
  ibrav = 0, nat = 4, ntyp = 3
/
ATOMIC_SPECIES
Tl 204.38 Tl.upf
Th 232.04 Th.upf
Pm 145.00 Pm.upf
ATOMIC_POSITIONS crystal
Tl 0.748 0.748 0.756
Th 0.500 0.500 0.500
Tl 0.252 0.252 0.244
Pm 0.000 0.000 0.000
CELL_PARAMETERS angstrom
-0.778 -1.689 -3.109
-0.765 -3.541 0.004
-10.907 0.504 0.343
! Final energy: -4.3549 eV/atom
! ΔH_f (0 K): -12 kJ/mol of atoms
! Density of states at the Fermi level: 5.58 states/eV/f.u.
! Theoretical density: 10.71 g/cm³

Entry 2:
! SrNd2Tm | Alexandria | GGA-PBE | optimized geometry; values from VASP
&SYSTEM
  ibrav = 0, nat = 4, ntyp = 3
/
ATOMIC_SPECIES
Tm 168.93 Tm.upf
Sr 87.62 Sr.upf
Nd 144.24 Nd.upf
ATOMIC_POSITIONS crystal
Tm 0.500 0.500 0.500
Sr 0.000 0.000 0.000
Nd 0.094 0.094 0.718
Nd 0.906 0.906 0.282
CELL_PARAMETERS angstrom
3.657 0.000 0.000
1.828 3.167 0.000
1.828 1.056 13.062
! Final energy: -3.7324 eV/atom
! ΔH_f (0 K): 18 kJ/mol of atoms
! Energy relative to the lowest polymorph listed for this composition: 88.4 meV per atom
! Density of states at the Fermi level: 5.52 states/eV/f.u.
! Theoretical density: 5.98 g/cm³

Entry 3:
! LaIn2As | Alexandria | GGA-PBE | optimized geometry; values from VASP
&SYSTEM
  ibrav = 0, nat = 4, ntyp = 3
/
ATOMIC_SPECIES
La 138.91 La.upf
As 74.92 As.upf
In 114.82 In.upf
ATOMIC_POSITIONS crystal
La 0.000 0.000 0.561
As 0.500 0.500 0.654
In 0.000 0.000 0.036
In 0.500 0.500 0.248
CELL_PARAMETERS angstrom
4.142 0.000 0.000
0.000 4.142 0.000
0.000 0.000 7.064
! Final energy: -4.2792 eV/atom
! ΔH_f (0 K): -50 kJ/mol of atoms
! Density of states at the Fermi level: 1.76 states/eV/f.u.
! Theoretical density: 6.08 g/cm³

Entry 4:
! K3TlCl4 | Alexandria | GGA-PBE | optimized geometry; values from VASP
&SYSTEM
  ibrav = 0, nat = 16, ntyp = 3
/
ATOMIC_SPECIES
Tl 204.38 Tl.upf
Cl 35.45 Cl.upf
K 39.10 K.upf
ATOMIC_POSITIONS crystal
Tl 0.564 0.834 0.500
Cl 0.064 0.336 0.253
K 0.065 0.166 0.500
K 0.064 0.667 0.251
Cl 0.065 0.829 0.000
Cl 0.064 0.336 0.747
Cl 0.564 0.166 0.000
K 0.564 0.333 0.751
Cl 0.564 0.664 0.753
Cl 0.565 0.171 0.500
Cl 0.064 0.834 0.500
Tl 0.064 0.166 0.000
K 0.564 0.333 0.249
K 0.064 0.667 0.749
Cl 0.564 0.664 0.247
K 0.565 0.834 0.000
CELL_PARAMETERS angstrom
6.351 0.000 0.000
0.000 9.393 0.000
0.000 0.000 10.792
! Final energy: -3.3180 eV/atom
! Uncorrected formation energy: -1.6873 eV/atom
! Density of states at the Fermi level: 0.00 states/eV/f.u.
! Theoretical density: 2.39 g/cm³

Entry 5:
! NaZr2P2N6 | Alexandria | GGA-PBE | optimized geometry; values from VASP
&SYSTEM
  ibrav = 0, nat = 11, ntyp = 4
/
ATOMIC_SPECIES
N 14.01 N.upf
Zr 91.22 Zr.upf
P 30.97 P.upf
Na 22.99 Na.upf
ATOMIC_POSITIONS crystal
N 0.921 0.455 0.201
N 0.413 0.719 0.941
N 0.170 0.867 0.603
Zr 0.180 0.621 0.197
N 0.587 0.281 0.059
Zr 0.820 0.379 0.803
P 0.176 0.774 0.815
N 0.079 0.545 0.799
Na 0.500 0.000 0.500
P 0.824 0.226 0.185
N 0.830 0.133 0.397
CELL_PARAMETERS angstrom
5.782 -0.254 0.154
2.651 5.208 -0.118
0.281 -3.179 5.118
! Final energy: -7.9556 eV/atom
! Uncorrected formation energy: -0.7567 eV/atom
! Density of states at the Fermi level: 4.19 states/eV/f.u.
! Theoretical density: 3.79 g/cm³

Entry 6:
! ZrAgP4 | Alexandria | GGA-PBE | optimized geometry; values from VASP
&SYSTEM
  ibrav = 0, nat = 6, ntyp = 3
/
ATOMIC_SPECIES
P 30.97 P.upf
Zr 91.22 Zr.upf
Ag 107.87 Ag.upf
ATOMIC_POSITIONS crystal
P 0.374 0.374 0.879
Zr 0.750 0.750 0.750
P 0.879 0.374 0.374
Ag 0.000 0.000 0.000
P 0.374 0.374 0.374
P 0.374 0.879 0.374
CELL_PARAMETERS angstrom
4.526 0.214 -2.434
3.456 -3.750 0.663
1.013 -3.271 -3.837
! Final energy: -5.3021 eV/atom
! ΔH_f (0 K): 20 kJ/mol of atoms
! Density of states at the Fermi level: 2.89 states/eV/f.u.
! Theoretical density: 5.58 g/cm³

Entry 7:
! LiNpMn2S6 | Alexandria | GGA-PBE | optimized geometry; values from VASP
&SYSTEM
  ibrav = 0, nat = 10, ntyp = 4
/
ATOMIC_SPECIES
Mn 54.94 Mn.upf
S 32.06 S.upf
Li 6.94 Li.upf
Np 237.00 Np.upf
ATOMIC_POSITIONS crystal
Mn 0.012 0.012 0.963
S 0.389 0.737 0.748
S 0.625 0.250 0.243
Li 0.313 0.313 0.061
S 0.250 0.883 0.243
S 0.126 0.389 0.748
S 0.737 0.126 0.748
S 0.883 0.625 0.243
Mn 0.507 0.507 0.480
Np 0.821 0.821 0.536
CELL_PARAMETERS angstrom
6.296 0.000 0.000
3.148 5.452 0.000
3.148 1.817 5.707
! Final energy: -6.6065 eV/atom
! Uncorrected formation energy: -0.8107 eV/atom
! Density of states at the Fermi level: 7.59 states/eV/f.u.
! Theoretical density: 4.63 g/cm³

Entry 8:
! KVSi | Alexandria | GGA-PBE | optimized geometry; values from VASP
&SYSTEM
  ibrav = 0, nat = 6, ntyp = 3
/
ATOMIC_SPECIES
V 50.94 V.upf
K 39.10 K.upf
Si 28.09 Si.upf
ATOMIC_POSITIONS crystal
V 0.052 0.929 0.975
V 0.056 0.616 0.830
K 0.064 0.332 0.569
Si 0.556 0.117 0.813
K 0.548 0.905 0.237
Si 0.552 0.429 0.995
CELL_PARAMETERS angstrom
-3.023 -0.302 -1.241
1.499 -0.509 -3.525
0.685 -12.123 1.088
! Final energy: -5.1418 eV/atom
! Energy relative to the lowest polymorph listed for this composition: 52.0 meV per atom
! Uncorrected formation energy: 0.0713 eV/atom
! Density of states at the Fermi level: 2.30 states/eV/f.u.
! Theoretical density: 2.54 g/cm³